A plane-wave DFT calculation with PBE-GGA was carried out for an optimized crystal structure of LiU2Pt8.

It has space group Immm (No. 71), with a = 4.006 Å, b = 8.242 Å, c = 11.901 Å, α = 90.00°, β = 90.00° and γ = 90.00°. Symmetry generates all atoms from Li at (0.000, 0.000, 0.000), U at (0.000, 0.000, 0.343), Pt at (0.000, 0.251, 0.500), Pt at (0.000, 0.252, 0.162) and Pt at (0.000, 0.500, 0.328).

The formation energy is -6.48 eV per formula unit. The energy above the most stable polymorph in this dataset comes out at 0 kJ/mol of formula units.